This record from Alexandria via LeMat-Bulk describes a relaxed Dy2NpAsN5 crystal. The functional is PBE.

POSCAR file:
```
Dy2NpAsN5
1.0
1.720 -6.960 0.000
1.720 6.960 0.000
0.000 0.000 10.105
Dy Np As N
4 2 2 10
Cartesian
1.720 5.368 5.052
1.720 5.147 0.923
1.720 -5.147 5.975
1.720 -5.368 0.000
1.720 4.007 8.138
1.720 -4.007 3.085
1.720 0.090 2.801
1.720 -0.090 7.853
1.720 6.348 8.603
1.720 2.969 4.509
1.720 2.807 1.696
1.720 1.765 8.216
1.720 0.045 6.009
1.720 -0.045 0.956
1.720 -1.765 3.163
1.720 -2.807 6.749
1.720 -2.969 9.561
1.720 -6.348 3.550
```

Output
Calculated density, g cm⁻³: 9.7
Formation energy from raw total energies, eV/atom: -0.8490
Total DFT energy (no corrections), eV for the cell shown: -152.1
M_tot, μB/atom: 0.244
Symmetry: Cmc2_1, No. 36
Volume, A^3/atom: 13.44

***

This record from Alexandria via LeMat-Bulk describes a relaxed Dy3AsPN crystal. The functional is PBE.

POSCAR file:
```
Dy3AsPN
1.0
8.287 0.000 0.000
0.000 3.994 0.000
-1.344 0.000 8.842
Dy As P N
6 2 2 2
Cartesian
0.334 0.999 3.161
1.462 0.999 8.805
2.331 2.996 5.856
4.612 0.999 2.985
5.482 2.996 0.036
6.609 2.996 5.681
2.345 2.996 2.651
4.599 0.999 6.191
0.303 0.999 5.883
6.641 2.996 2.959
2.137 2.996 7.991
4.806 0.999 0.850
```

Output
Calculated density, g cm⁻³: 6.9
Formation energy from raw total energies, eV/atom: -1.4052
Total DFT energy (no corrections), eV for the cell shown: -81.2
M_tot, μB/atom: 0.000
Symmetry: P2_1/m, No. 11
Volume, A^3/atom: 24.39

***

This record from Alexandria via LeMat-Bulk describes a relaxed DyPa2AsN5 crystal. The functional is PBE.

POSCAR file:
```
DyPa2AsN5
1.0
1.671 -8.216 0.000
1.671 8.216 0.000
0.000 0.000 10.326
Dy Pa As N
2 4 2 10
Cartesian
1.671 5.408 5.163
1.671 -5.408 0.000
1.671 5.705 8.683
1.671 5.334 1.758
1.671 -5.334 6.921
1.671 -5.705 3.520
1.671 0.047 5.066
1.671 -0.047 10.229
1.671 7.361 0.622
1.671 3.198 8.543
1.671 3.184 5.269
1.671 3.131 1.755
1.671 0.966 3.484
1.671 -0.966 8.646
1.671 -3.131 6.918
1.671 -3.184 0.107
1.671 -3.198 3.381
1.671 -7.361 5.785
```

Output
Calculated density, g cm⁻³: 9.0
Formation energy from raw total energies, eV/atom: -1.0624
Total DFT energy (no corrections), eV for the cell shown: -158.9
M_tot, μB/atom: 0.000
Symmetry: Cmc2_1, No. 36
Volume, A^3/atom: 15.75

***

This record from Alexandria via LeMat-Bulk describes a relaxed Dy8Te4As3N crystal. The functional is PBE.

POSCAR file:
```
Dy8Te4As3N
1.0
4.100 2.367 7.033
-4.100 2.367 7.033
0.000 -4.734 7.033
Dy Te As N
8 4 3 1
Cartesian
0.000 0.000 5.047
-1.883 -1.087 11.973
0.000 -2.175 9.125
-1.883 1.087 9.125
1.883 -1.087 11.973
0.000 2.175 11.973
1.883 1.087 9.125
0.000 0.000 16.051
0.000 0.000 0.000
-2.050 -1.183 7.033
-2.050 1.183 14.065
0.000 2.367 7.033
-4.100 0.000 10.549
-2.050 1.183 3.516
2.050 1.183 3.516
0.000 0.000 10.549
```

Output
Calculated density, g cm⁻³: 8.3
Formation energy from raw total energies, eV/atom: -1.4216
Total DFT energy (no corrections), eV for the cell shown: -94.4
M_tot, μB/atom: 0.000
Symmetry: R-3m, No. 166
Volume, A^3/atom: 25.59

***

This record from Alexandria via LeMat-Bulk describes a relaxed DyThAsN crystal. The functional is PBE.

POSCAR file:
```
DyThAsN
1.0
4.387 0.000 0.000
0.000 4.387 0.000
0.000 0.000 9.259
Dy Th As N
2 2 2 2
Cartesian
1.097 3.290 0.000
3.290 1.097 0.000
1.097 1.097 3.619
3.290 3.290 5.640
1.097 1.097 7.431
3.290 3.290 1.828
1.097 3.290 4.629
3.290 1.097 4.629
```

Output
Calculated density, g cm⁻³: 9.0
Formation energy from raw total energies, eV/atom: -1.2387
Total DFT energy (no corrections), eV for the cell shown: -59.9
M_tot, μB/atom: 0.000
Symmetry: P4/nmm, No. 129
Volume, A^3/atom: 22.28

***

This record from Alexandria via LeMat-Bulk describes a relaxed NaDy2As crystal. The functional is PBE.

POSCAR file:
```
NaDy2As
1.0
1.934 1.117 10.540
-1.934 1.117 10.540
0.000 -2.234 10.540
Na Dy As
1 2 1
Cartesian
0.000 0.000 0.000
0.000 0.000 3.581
0.000 0.000 28.038
0.000 0.000 15.810
```

Output
Calculated density, g cm⁻³: 5.1
Total DFT energy (no corrections), eV for the cell shown: -17.0
M_tot, μB/atom: 0.000
Symmetry: R-3m, No. 166
Energy of formation from the pure elements, eV/f.u.: -1.87
Volume, A^3/atom: 34.16

***

This record from Alexandria via LeMat-Bulk describes a relaxed Na4Dy3AsO8 crystal. The functional is PBE.

POSCAR file:
```
Na4Dy3AsO8
1.0
3.380 1.952 5.571
-3.380 1.952 5.571
0.000 -3.903 5.571
Na Dy As O
4 3 1 8
Cartesian
0.000 0.000 0.000
-1.690 -0.976 5.571
-1.690 0.976 11.143
0.000 1.952 5.571
-3.380 0.000 8.357
-1.690 0.976 2.786
1.690 0.976 2.786
0.000 0.000 8.357
0.000 0.000 3.962
-1.660 -0.959 9.541
0.000 -1.917 7.173
-1.660 0.959 7.173
1.660 -0.959 9.541
0.000 1.917 9.541
1.660 0.959 7.173
0.000 0.000 12.752
```

Output
Calculated density, g cm⁻³: 5.9
Formation energy from raw total energies, eV/atom: -2.3872
Total DFT energy (no corrections), eV for the cell shown: -101.6
M_tot, μB/atom: 0.000
Symmetry: R-3m, No. 166
Volume, A^3/atom: 13.78

***

This record from Alexandria via LeMat-Bulk describes a relaxed NaDyAsO4 crystal. The functional is PBE.

POSCAR file:
```
NaDyAsO4
1.0
-3.219 3.375 4.468
3.219 -3.375 4.468
3.219 3.375 -4.468
Na Dy As O
2 2 2 8
Cartesian
-1.610 1.687 2.234
1.610 1.687 2.234
0.000 0.000 0.000
0.000 3.375 0.000
3.219 1.687 -1.118
0.000 1.687 5.587
3.219 -0.230 2.167
3.219 3.145 -2.167
1.527 1.687 -0.057
1.692 -1.687 4.411
1.527 5.062 0.057
1.692 1.687 4.526
0.000 0.230 6.635
0.000 3.605 2.301
```

Output
Calculated density, g cm⁻³: 5.5
Formation energy from raw total energies, eV/atom: -2.0042
Total DFT energy (no corrections), eV for the cell shown: -88.9
M_tot, μB/atom: 0.000
Symmetry: Imma, No. 74
Volume, A^3/atom: 13.87

***

This record from Alexandria via LeMat-Bulk describes a relaxed Na3Dy3AsO8 crystal. The functional is PBE.

POSCAR file:
```
Na3Dy3AsO8
1.0
3.351 1.935 5.573
-3.351 1.935 5.573
0.000 -3.869 5.573
Na Dy As O
3 3 1 8
Cartesian
-1.675 -0.967 5.573
-1.675 0.967 11.146
0.000 1.935 5.573
-3.351 0.000 8.360
-1.675 0.967 2.787
1.675 0.967 2.787
0.000 0.000 8.360
0.000 0.000 3.956
-1.499 -0.865 9.450
0.000 -1.731 7.269
-1.499 0.865 7.269
1.499 -0.865 9.450
0.000 1.731 9.450
1.499 0.865 7.269
0.000 0.000 12.763
```

Output
Calculated density, g cm⁻³: 5.8
Formation energy from raw total energies, eV/atom: -2.4351
Total DFT energy (no corrections), eV for the cell shown: -98.6
M_tot, μB/atom: 0.000
Symmetry: R-3m, No. 166
Volume, A^3/atom: 14.45

***

This record from Alexandria via LeMat-Bulk describes a relaxed Na2DyAs2O6 crystal. The functional is PBE.

POSCAR file:
```
Na2DyAs2O6
1.0
4.615 -2.965 0.000
4.615 2.965 0.000
-3.147 0.000 6.044
Na Dy As O
2 1 2 6
Cartesian
1.445 0.000 0.850
4.637 0.000 5.194
-1.573 0.000 3.022
1.635 0.000 4.677
4.447 0.000 1.367
3.355 1.403 1.377
0.712 0.000 3.190
2.727 1.403 4.667
3.355 -1.403 1.377
5.370 0.000 2.854
2.727 -1.403 4.667
```

Output
Calculated density, g cm⁻³: 4.6
Formation energy from raw total energies, eV/atom: -1.8799
Total DFT energy (no corrections), eV for the cell shown: -67.0
M_tot, μB/atom: 0.087
Symmetry: C2/m, No. 12
Volume, A^3/atom: 15.04

***

This record from Alexandria via LeMat-Bulk describes a relaxed NaDy2PaAs4 crystal. The functional is PBE.

POSCAR file:
```
NaDy2PaAs4
1.0
7.065 0.000 0.000
0.000 4.172 0.000
-2.328 0.000 6.729
Na Dy Pa As
1 2 1 4
Cartesian
0.000 0.000 0.000
-1.164 2.086 3.364
2.368 0.000 3.364
3.532 2.086 0.000
0.055 0.000 5.066
1.293 2.086 1.688
3.443 2.086 5.041
4.682 0.000 1.663
```

Output
Calculated density, g cm⁻³: 7.4
Total DFT energy (no corrections), eV for the cell shown: -47.3
M_tot, μB/atom: 0.000
Symmetry: P2/m, No. 10
Energy of formation from the pure elements, eV/f.u.: -8.71
Volume, A^3/atom: 24.79

***

This record from Alexandria via LeMat-Bulk describes a relaxed Na2DyAs3Pt4 crystal. The functional is PBE.

POSCAR file:
```
Na2DyAs3Pt4
1.0
4.291 0.000 0.000
0.000 4.291 0.000
0.000 0.000 11.106
Na Dy As Pt
2 1 3 4
Cartesian
0.000 2.146 2.505
2.146 0.000 8.601
0.000 0.000 5.553
0.000 2.146 9.717
2.146 0.000 1.389
2.146 2.146 5.553
0.000 0.000 0.000
0.000 2.146 7.304
2.146 0.000 3.801
2.146 2.146 0.000
```

Output
Calculated density, g cm⁻³: 9.9
Total DFT energy (no corrections), eV for the cell shown: -51.1
M_tot, μB/atom: 0.000
Symmetry: P-4m2, No. 115
Energy of formation from the pure elements, eV/f.u.: -5.70
Volume, A^3/atom: 20.45

***

This record from Alexandria via LeMat-Bulk describes a relaxed Na4Dy3AsS8 crystal. The functional is PBE.

POSCAR file:
```
Na4Dy3AsS8
1.0
3.941 2.275 6.667
-3.941 2.275 6.667
0.000 -4.550 6.667
Na Dy As S
4 3 1 8
Cartesian
0.000 0.000 0.000
-1.970 -1.138 6.667
-1.970 1.138 13.335
0.000 2.275 6.667
-3.941 0.000 10.001
-1.970 1.138 3.334
1.970 1.138 3.334
0.000 0.000 10.001
0.000 0.000 4.853
-1.902 -1.098 11.480
0.000 -2.196 8.522
-1.902 1.098 8.522
1.902 -1.098 11.480
0.000 2.196 11.480
1.902 1.098 8.522
0.000 0.000 15.149
```

Output
Calculated density, g cm⁻³: 4.2
Formation energy from raw total energies, eV/atom: -1.5065
Total DFT energy (no corrections), eV for the cell shown: -80.9
M_tot, μB/atom: 0.000
Symmetry: R-3m, No. 166
Volume, A^3/atom: 22.42

***

This record from Alexandria via LeMat-Bulk describes a relaxed Na2DyTe4As crystal. The functional is PBE.

POSCAR file:
```
Na2DyTe4As
1.0
7.572 0.000 0.000
0.000 4.332 0.000
-2.482 0.000 7.531
Na Dy Te As
2 1 4 1
Cartesian
0.000 0.000 0.000
3.786 2.166 0.000
-1.241 2.166 3.765
0.130 0.000 5.466
1.372 2.166 2.124
3.718 2.166 5.407
4.960 0.000 2.065
2.545 0.000 3.765
```

Output
Calculated density, g cm⁻³: 5.3
Formation energy from raw total energies, eV/atom: -0.8111
Total DFT energy (no corrections), eV for the cell shown: -30.9
M_tot, μB/atom: 0.000
Symmetry: P2/m, No. 10
Volume, A^3/atom: 30.88

***

This record from Alexandria via LeMat-Bulk describes a relaxed Nd3DyAs4 crystal. The functional is PBE.

POSCAR file:
```
Nd3DyAs4
1.0
4.234 -5.988 0.000
4.234 5.988 0.000
0.000 0.000 4.239
Nd Dy As
3 1 4
Cartesian
0.000 0.000 0.000
2.117 2.994 2.119
2.117 -2.994 2.119
4.234 0.000 0.000
4.234 2.956 0.000
2.169 0.000 2.119
6.299 0.000 2.119
4.234 -2.956 0.000
```

Output
Calculated density, g cm⁻³: 6.9
Total DFT energy (no corrections), eV for the cell shown: -49.6
Polymorph energy (0 for the lowest one), meV per atom: 0
M_tot, μB/atom: 0.000
Symmetry: Cmmm, No. 65
Energy of formation from the pure elements, eV/f.u.: -12.09
Volume, A^3/atom: 26.87

***

This record from Alexandria via LeMat-Bulk describes a relaxed NdDyAs crystal. The functional is PBE.

POSCAR file:
```
NdDyAs
1.0
2.940 -5.801 0.000
2.940 5.801 0.000
0.000 0.000 5.903
Nd Dy As
2 2 2
Cartesian
2.940 3.439 4.427
2.940 -3.439 1.476
2.940 0.000 0.000
2.940 0.000 2.951
2.940 2.477 1.476
2.940 -2.477 4.427
```

Output
Calculated density, g cm⁻³: 6.3
Total DFT energy (no corrections), eV for the cell shown: -30.8
M_tot, μB/atom: 0.214
Symmetry: Cmcm, No. 63
Energy of formation from the pure elements, eV/f.u.: -1.38
Volume, A^3/atom: 33.55

***

This record from Alexandria via LeMat-Bulk describes a relaxed NdDy5As6 crystal. The functional is PBE.

POSCAR file:
```
NdDy5As6
1.0
3.590 -6.218 0.000
3.590 6.218 0.000
-2.390 0.000 6.770
Nd Dy As
1 5 6
Cartesian
0.000 0.000 0.000
2.395 4.160 3.385
3.590 2.077 0.000
2.395 0.000 3.385
3.590 -2.077 0.000
2.395 -4.160 3.385
1.216 2.104 1.715
0.039 0.000 5.060
1.216 -2.104 1.715
3.574 2.104 5.054
4.751 0.000 1.710
3.574 -2.104 5.054
```

Output
Calculated density, g cm⁻³: 7.7
Total DFT energy (no corrections), eV for the cell shown: -74.0
M_tot, μB/atom: 0.000
Symmetry: C2/m, No. 12
Energy of formation from the pure elements, eV/f.u.: -18.32
Volume, A^3/atom: 25.19

***

This record from Alexandria via LeMat-Bulk describes a relaxed NdDyAs crystal. The functional is PBE.

POSCAR file:
```
NdDyAs
1.0
4.030 0.000 0.000
-2.015 3.490 0.000
0.000 0.000 6.632
Nd Dy As
1 1 1
Cartesian
0.000 0.000 0.000
2.015 1.163 3.198
0.000 2.327 4.836
```

Output
Calculated density, g cm⁻³: 6.8
Total DFT energy (no corrections), eV for the cell shown: -16.6
M_tot, μB/atom: 0.348
Symmetry: P3m1, No. 156
Energy of formation from the pure elements, eV/f.u.: -2.53
Volume, A^3/atom: 31.10

***

This record from Alexandria via LeMat-Bulk describes a relaxed Nd2DyAs crystal. The functional is PBE.

POSCAR file:
```
Nd2DyAs
1.0
1.992 1.150 9.547
-1.992 1.150 9.547
0.000 -2.300 9.547
Nd Dy As
2 1 1
Cartesian
0.000 0.000 6.572
0.000 0.000 22.068
0.000 0.000 0.000
0.000 0.000 14.320
```

Output
Calculated density, g cm⁻³: 6.7
Total DFT energy (no corrections), eV for the cell shown: -21.0
M_tot, μB/atom: 0.211
Symmetry: R-3m, No. 166
Energy of formation from the pure elements, eV/f.u.: -2.19
Volume, A^3/atom: 32.79

***

This record from Alexandria via LeMat-Bulk describes a relaxed Nd4DyAs5 crystal. The functional is PBE.

POSCAR file:
```
Nd4DyAs5
1.0
-4.744 4.744 3.002
4.744 -4.744 3.002
4.744 4.744 -3.002
Nd Dy As
4 1 5
Cartesian
2.845 0.936 0.000
3.808 -1.899 3.002
0.936 6.644 0.000
1.899 3.808 3.002
0.000 0.000 3.002
0.000 0.000 0.000
5.679 1.942 0.000
1.942 3.810 0.000
2.802 0.935 3.002
-0.935 2.802 3.002
```

Output
Calculated density, g cm⁻³: 6.8
Total DFT energy (no corrections), eV for the cell shown: -62.0
M_tot, μB/atom: 0.000
Symmetry: I4/m, No. 87
Energy of formation from the pure elements, eV/f.u.: -15.11
Volume, A^3/atom: 27.03